Entry 1:
5
Lattice="-4.178 -0.368 -1.637 -1.309 -2.031 3.798 -1.578 6.016 2.674" Properties=species:S:1:pos:R:3 comment="BaMnIO2 | Alexandria via LeMat-Bulk | SCAN | PBEsol geometry" rho_g_cm3=4.25 raw_formation_energy_ev_per_atom=-0.40 crystal_system=tetragonal pbc="T T T"
I -0.789 3.008 1.337
Mn -3.532 1.808 2.418
Ba 0.000 0.000 0.000
O -0.655 -1.016 1.899
O -2.089 -0.184 -0.818

Entry 2:
5
Lattice="5.540 0.000 0.000 0.000 5.540 0.000 0.000 0.000 5.540" Properties=species:S:1:pos:R:3 comment="BaMoI3 | Alexandria via LeMat-Bulk | SCAN | PBEsol geometry" rho_g_cm3=6.00 raw_formation_energy_ev_per_atom=-0.48 crystal_system=cubic pbc="T T T"
I 0.000 2.770 0.000
I 0.000 0.000 2.770
I 2.770 0.000 0.000
Mo 0.000 0.000 0.000
Ba 2.770 2.770 2.770

Entry 3:
5
Lattice="-0.733 2.127 -3.603 -3.557 -2.242 -0.600 -2.796 3.698 2.752" Properties=species:S:1:pos:R:3 comment="BaMoIN2 | Alexandria via LeMat-Bulk | SCAN | PBEsol geometry" rho_g_cm3=6.63 raw_formation_energy_ev_per_atom=0.14 crystal_system=tetragonal pbc="T T T"
I -1.398 1.849 1.376
Mo 0.000 0.000 0.000
Ba -3.543 1.791 -0.725
N -1.778 -1.121 -0.300
N -0.366 1.064 -1.801

Entry 4:
68
Lattice="7.532 0.000 0.000 3.766 6.685 -0.083 3.766 0.003 20.077" Properties=species:S:1:pos:R:3 comment="BaMo6I2O25 | Alexandria via LeMat-Bulk | SCAN | PBEsol geometry" rho_g_cm3=4.49 raw_formation_energy_ev_per_atom=-1.71 crystal_system=monoclinic pbc="T T T"
Ba 6.700 1.674 15.037
Ba 8.365 5.014 4.957
Mo 3.534 3.164 8.291
Mo 7.301 0.180 1.706
Mo 11.530 3.524 11.703
Mo 7.764 6.508 18.288
Mo 6.604 1.653 6.925
Mo 2.838 1.691 3.072
Mo 8.461 5.035 13.069
Mo 12.227 4.997 16.922
Mo 5.626 6.390 8.257
Mo 5.626 3.639 1.657
Mo 9.438 0.298 11.737
Mo 9.438 3.049 18.337
I 6.582 1.659 10.123
I 6.582 1.688 19.951
I 8.483 5.029 9.871
I 8.483 5.000 0.043
O 4.848 2.743 10.064
O 4.848 0.605 20.009
O 10.217 3.945 9.930
O 10.217 6.083 -0.015
O 7.248 2.753 8.789
O 3.481 0.591 1.208
O 7.817 3.935 11.205
O 11.583 6.097 18.786
O 8.350 0.627 10.087
O 8.350 2.720 19.987
O 6.715 6.061 9.907
O 6.715 3.968 0.007
O 5.921 0.535 8.824
O 2.155 2.809 1.173
O 9.144 6.153 11.170
O 12.910 3.879 18.821
O 4.647 4.956 8.432
O 4.647 5.072 1.483
O 10.418 1.732 11.562
O 10.418 1.616 18.511
O 4.975 2.608 7.281
O 1.209 0.736 2.716
O 10.090 4.080 12.713
O 13.856 5.952 17.278
O 10.004 3.946 7.194
O 10.004 6.083 2.721
O 5.061 2.742 12.800
O 5.061 0.605 17.273
O 2.810 1.593 8.487
O 6.576 1.751 1.510
O 12.255 5.095 11.507
O 8.489 4.937 18.485
O 5.926 0.426 5.951
O 9.692 2.918 4.047
O 9.139 6.262 14.044
O 5.372 3.770 15.948
O 7.262 2.791 5.845
O 3.496 0.553 4.152
O 7.802 3.897 14.149
O 11.569 6.135 15.842
O 8.221 0.676 7.307
O 4.455 2.668 2.690
O 6.844 6.012 12.687
O 10.610 4.020 17.304
O 6.863 5.857 7.195
O 6.863 4.172 2.719
O 8.202 0.831 12.799
O 8.202 2.516 17.275
O 3.944 1.674 15.037
O 11.121 5.014 4.957

Entry 5:
5
Lattice="5.050 0.000 0.000 0.000 5.043 0.000 0.000 0.000 5.043" Properties=species:S:1:pos:R:3 comment="BaRe2MoI | Alexandria via LeMat-Bulk | SCAN | PBEsol geometry" rho_g_cm3=9.47 raw_formation_energy_ev_per_atom=3.85 crystal_system=tetragonal pbc="T T T"
I 2.525 2.522 2.522
Re 0.000 0.000 2.522
Re 0.000 2.522 0.000
Mo 2.525 0.000 0.000
Ba 0.000 0.000 0.000

Entry 6:
5
Lattice="-1.225 -3.350 -5.312 5.983 -2.267 0.050 -1.909 -4.958 3.567" Properties=species:S:1:pos:R:3 comment="Ba3IN | Alexandria via LeMat-Bulk | SCAN | PBEsol geometry" rho_g_cm3=3.50 raw_formation_energy_ev_per_atom=0.59 crystal_system=cubic pbc="T T T"
I 0.000 0.000 0.000
Ba 2.992 -1.134 0.025
Ba -0.954 -2.479 1.783
Ba -0.613 -1.675 -2.656
N 1.425 -5.288 -0.848